No. 1
The following is a DFT calculation (GGA-PBE) of crystalline PuZnW at its relaxed geometry.

Properties
ρ: 13.52 g/cm3
ΔE_f: 897 meV/atom
E above lowest polymorph: 0 meV per atom
symmetry: F-43m, No. 216

extended XYZ file:
```
3
Lattice="2.204 1.273 3.600 -2.204 1.273 3.600 0.000 -2.546 3.600" Properties=species:S:1:pos:R:3 pbc="T T T"
Pu 0.000 0.000 8.100
W 0.000 0.000 2.700
Zn 0.000 0.000 0.000
```

=====

No. 2
The following is a DFT calculation (GGA-PBE) of crystalline YPuZn at its relaxed geometry.

Properties
ρ: 8.17 g/cm3
ΔE_f: 575 meV/atom
E above lowest polymorph: 0 meV per atom
symmetry: F-43m, No. 216

extended XYZ file:
```
3
Lattice="0.489 -3.011 3.779 -3.712 -2.826 1.349 0.210 -4.797 -0.729" Properties=species:S:1:pos:R:3 pbc="T T T"
Pu 0.000 0.000 0.000
Y -0.753 -2.658 1.100
Zn -2.259 -7.975 3.300
```

=====

No. 3
The following is a DFT calculation (GGA-PBE) of crystalline Pu2Zn17 at its relaxed geometry.

Properties
ρ: 8.68 g/cm3
ΔE_f: 75 meV/atom
E above lowest polymorph: 243 meV per atom
symmetry: R-3m, No. 166

extended XYZ file:
```
19
Lattice="4.484 2.589 4.393 -4.484 2.589 4.393 0.000 -5.177 4.393" Properties=species:S:1:pos:R:3 pbc="T T T"
Pu 0.000 0.000 4.435
Pu 0.000 0.000 8.745
Zn 2.242 1.294 2.197
Zn 1.824 2.589 4.393
Zn -2.242 1.294 2.197
Zn -1.824 2.589 4.393
Zn 0.000 0.000 1.323
Zn 0.000 2.522 6.389
Zn 3.154 0.285 4.393
Zn -3.154 0.285 4.393
Zn 2.184 1.261 6.791
Zn -2.184 1.261 6.791
Zn 0.000 -2.589 2.197
Zn 2.184 -1.261 6.389
Zn -2.184 -1.261 6.389
Zn 1.330 -2.874 4.393
Zn -1.330 -2.874 4.393
Zn 0.000 -2.522 6.791
Zn 0.000 0.000 11.858
```

=====

No. 4
The following is a DFT calculation (GGA-PBE) of crystalline PuZn2 at its relaxed geometry.

Properties
ρ: 11.15 g/cm3
ΔE_f: -111 meV/atom
symmetry: Cmcm, No. 63

extended XYZ file:
```
12
Lattice="-3.518 -1.586 -2.812 -1.434 -8.260 6.454 -2.929 2.340 2.345" Properties=species:S:1:pos:R:3 pbc="T T T"
Pu -3.427 -1.545 -2.739
Pu -2.385 -4.882 1.894
Pu -2.729 0.600 0.162
Pu -5.205 -4.323 1.983
Zn -2.062 -2.400 -0.180
Zn -0.466 -2.547 1.960
Zn -1.020 -5.737 4.453
Zn -2.942 -7.470 3.781
Zn -4.648 -1.735 0.096
Zn -3.052 -1.882 2.236
Zn -3.606 -5.072 4.729
Zn -5.528 -6.805 4.057
```

=====

No. 5
The following is a DFT calculation (GGA-PBE) of crystalline PuZn2 at its relaxed geometry.

Properties
ρ: 10.93 g/cm3
ΔE_f: -109 meV/atom
symmetry: Cmcm, No. 63

extended XYZ file:
```
12
Lattice="-14.215 5.848 3.895 -0.808 -2.540 0.864 1.724 1.054 4.710" Properties=species:S:1:pos:R:3 pbc="T T T"
Pu -4.789 1.970 1.312
Pu -12.301 3.624 3.692
Pu -0.667 1.156 2.774
Pu -8.178 2.810 5.154
Zn -0.124 0.051 0.034
Zn -9.485 3.903 2.599
Zn -2.782 -0.292 1.084
Zn -7.635 1.705 2.413
Zn -5.332 3.075 4.052
Zn -10.185 5.072 5.382
Zn -3.482 0.877 3.867
Zn -12.843 4.729 6.432
```

=====

No. 6
The following is a DFT calculation (GGA-PBE) of crystalline Pu2Zn17 at its relaxed geometry.

Properties
ρ: 8.69 g/cm3
ΔE_f: -168 meV/atom
E above lowest polymorph: 0 meV per atom
symmetry: P6_3/mmc, No. 194

extended XYZ file:
```
38
Lattice="-6.771 -5.223 2.678 7.562 0.342 4.795 -3.284 6.668 4.703" Properties=species:S:1:pos:R:3 pbc="T T T"
Pu -0.821 1.667 1.176
Pu -2.814 -1.701 4.559
Pu -2.463 5.001 3.528
Pu 0.322 3.488 7.617
Zn -3.385 -2.612 1.339
Zn 3.781 0.171 2.397
Zn 0.396 -2.441 3.736
Zn -0.635 -3.999 5.587
Zn -1.042 -1.492 1.749
Zn -4.518 -4.174 3.124
Zn 2.454 -0.842 4.562
Zn 1.701 1.596 3.037
Zn -0.276 0.072 3.819
Zn 3.995 1.700 4.492
Zn -0.036 -1.409 6.085
Zn 4.226 0.275 6.673
Zn 2.172 -1.309 7.485
Zn 1.473 1.150 5.968
Zn -2.540 1.549 3.895
Zn -6.016 -1.133 5.270
Zn -2.133 -0.957 7.732
Zn -5.027 0.722 3.691
Zn 2.139 3.505 4.749
Zn -1.246 0.894 6.088
Zn -0.359 2.744 4.444
Zn 3.524 2.920 6.906
Zn 0.047 0.238 8.282
Zn -3.965 0.637 6.208
Zn -4.664 3.096 4.691
Zn -6.718 1.512 5.503
Zn -2.457 3.196 6.091
Zn -6.487 0.087 7.685
Zn -2.217 1.716 8.357
Zn -4.193 0.191 9.139
Zn -4.947 2.629 7.614
Zn 2.026 5.962 9.052
Zn -1.451 3.279 10.427
Zn -1.857 5.786 6.590
```

=====

No. 7
The following is a DFT calculation (GGA-PBE) of crystalline PuZn2 at its relaxed geometry.

Properties
ρ: 13.14 g/cm3
ΔE_f: 11 meV/atom
symmetry: Cmcm, No. 63

extended XYZ file:
```
12
Lattice="-13.058 -9.496 1.696 1.582 -2.088 0.487 -0.110 0.916 4.282" Properties=species:S:1:pos:R:3 pbc="T T T"
Pu -9.025 -6.563 1.172
Pu -1.703 -2.857 0.567
Pu -9.894 -6.697 3.419
Pu -2.572 -2.992 2.814
Zn -0.094 -0.069 0.012
Zn -4.674 -3.399 0.607
Zn -5.833 -5.861 1.104
Zn -10.413 -9.191 1.699
Zn -1.184 -0.363 2.287
Zn -5.764 -3.694 2.882
Zn -6.923 -6.155 3.379
Zn -11.502 -9.486 3.974
```

=====

No. 8
The following is a DFT calculation (GGA-PBE) of crystalline PuZn2 at its relaxed geometry.

Properties
ρ: 10.74 g/cm3
ΔE_f: -18 meV/atom
symmetry: Pmmn, No. 59

extended XYZ file:
```
12
Lattice="5.320 0.000 0.000 0.000 9.461 0.000 0.000 0.000 4.604" Properties=species:S:1:pos:R:3 pbc="T T T"
Pu 5.241 0.012 0.000
Pu 5.241 6.295 0.000
Pu 4.513 1.564 2.302
Pu 4.513 4.743 2.302
Zn 2.542 1.679 0.000
Zn 0.314 3.154 0.000
Zn 2.542 4.628 0.000
Zn 2.588 7.884 0.000
Zn 1.845 3.154 2.302
Zn 1.892 6.410 2.302
Zn 4.119 7.884 2.302
Zn 1.892 9.359 2.302
```

=====

No. 9
The following is a DFT calculation (GGA-PBE) of crystalline PuZn12 at its relaxed geometry.

Properties
ρ: 8.44 g/cm3
ΔE_f: 49 meV/atom
symmetry: I4/mmm, No. 139

extended XYZ file:
```
13
Lattice="-0.328 -6.351 2.353 1.051 6.115 2.736 -6.535 0.773 -1.637" Properties=species:S:1:pos:R:3 pbc="T T T"
Pu 0.000 0.000 0.000
Zn -0.164 -3.176 1.177
Zn 0.525 3.058 1.368
Zn -1.110 -1.314 2.698
Zn -0.814 1.359 2.780
Zn -2.418 -1.966 0.252
Zn -1.933 2.427 0.387
Zn -3.267 0.386 -0.819
Zn -2.906 0.268 1.726
Zn -4.444 -3.613 0.464
Zn -3.552 4.461 0.711
Zn -4.998 -0.822 0.672
Zn -4.702 1.851 0.754
```

=====

No. 10
The following is a DFT calculation (GGA-PBE) of crystalline PuZr2 at its relaxed geometry.

Properties
ρ: 3.98 g/cm3
ΔE_f: 2690 meV/atom
symmetry: Fd-3m, No. 227

extended XYZ file:
```
6
Lattice="0.000 5.624 5.624 5.624 0.000 5.624 5.624 5.624 0.000" Properties=species:S:1:pos:R:3 pbc="T T T"
Pu 0.000 0.000 0.000
Pu 2.812 2.812 2.812
Zr 1.406 1.406 1.406
Zr 1.406 4.218 4.218
Zr 4.218 1.406 4.218
Zr 4.218 4.218 1.406
```

=====

No. 11
The following is a DFT calculation (GGA-PBE) of crystalline PuZr2 at its relaxed geometry.

Properties
ρ: 9.84 g/cm3
ΔE_f: 20 meV/atom
symmetry: P2_1/m, No. 11

extended XYZ file:
```
24
Lattice="-3.952 -8.168 10.738 0.759 -8.418 -1.284 4.945 0.151 1.935" Properties=species:S:1:pos:R:3 pbc="T T T"
Pu -2.761 -8.265 7.701
Pu -1.069 -5.523 3.162
Pu -2.661 -13.787 7.875
Pu 0.748 -8.432 -1.255
Pu -0.906 -7.200 10.169
Pu 0.787 -4.456 5.627
Pu 1.989 -4.541 2.562
Pu 1.446 -7.351 4.170
Zr -2.249 -5.465 6.175
Zr -0.535 -2.727 1.579
Zr -3.308 -10.982 9.312
Zr -1.606 -8.323 4.753
Zr 0.118 -5.584 0.135
Zr -2.124 -11.068 6.291
Zr -0.416 -8.386 1.718
Zr -0.955 -11.076 3.306
Zr 2.512 -1.826 1.014
Zr 0.275 -7.254 7.154
Zr -0.260 -10.061 8.741
Zr -0.798 -12.753 10.326
Zr 0.908 -10.071 5.756
Zr 2.620 -7.387 1.171
Zr 0.391 -12.815 7.293
Zr 2.094 -10.157 2.733
```

=====

No. 12
The following is a DFT calculation (GGA-PBE) of crystalline PuZr2 at its relaxed geometry.

Properties
ρ: 10.01 g/cm3
ΔE_f: 22 meV/atom
symmetry: Cmcm, No. 63

extended XYZ file:
```
12
Lattice="-10.957 -6.653 11.262 -0.475 -2.457 -1.914 3.955 -2.577 2.326" Properties=species:S:1:pos:R:3 pbc="T T T"
Pu -3.748 -2.276 3.853
Pu -9.465 -6.831 8.527
Pu 0.857 -1.969 2.315
Pu -4.860 -6.524 6.990
Zr -0.115 -0.070 0.118
Zr -7.392 -4.489 7.598
Zr -2.151 -2.391 1.010
Zr -5.831 -4.625 4.792
Zr -2.777 -4.175 6.050
Zr -6.457 -6.410 9.832
Zr -1.216 -4.312 3.245
Zr -8.493 -8.730 10.725
```

=====

Number 1: spin magnetization 4.307 μB per cell. Number 2: spin magnetization 5.960 μB per cell. Number 3: spin magnetization 0.122 μB per cell. Number 4: spin magnetization 21.726 μB per cell. Number 5: spin magnetization 22.407 μB per cell. Number 6: spin magnetization 21.988 μB per cell. Number 7: spin magnetization 4.650 μB per cell. Number 8: spin magnetization 22.152 μB per cell. Number 9: spin magnetization 0.057 μB per cell. Number 10: spin magnetization 8.811 μB per cell. Number 11: spin magnetization 44.299 μB per cell. Number 12: spin magnetization 0.021 μB per cell.